Density functional theory data (PBE with a Hubbard U) for V2BF after structural relaxation.

The structure belongs to space group Fm-3m (No. 225); the cell edges are 5.490, 5.490 and 5.490 Å and the angles 90.00°, 90.00° and 90.00°. The asymmetric unit holds V at (0.250, 0.250, 0.250), B at (0.000, 0.000, 0.000) and F at (0.000, 0.000, 0.500).

For the volume, the calculation gives 10.341 A^3/atom. For the energy above the most stable polymorph in this dataset, the calculation gives 180.6 meV/atom.